# 1
A plane-wave DFT calculation with PBE was carried out for an optimized crystal structure of Nd3Tl2Cd4.

Values from the calculation:
Electronic total energy in eV for the cell shown: -25.974
Magnetic moment in μB per formula unit: 0.00

Lattice parameters (Å, degrees): 7.7482 7.7482 4.6340 90.00 90.00 120.00
Sites, in units of the cell vectors:
Nd (0.0000, 0.5784, 0.0000)
Nd (0.4216, 0.4216, 0.0000)
Nd (0.5784, 0.0000, 0.0000)
Tl (0.3333, 0.6667, 0.5000)
Tl (0.6667, 0.3333, 0.5000)
Cd (0.0000, 0.0000, 0.0000)
Cd (0.0000, 0.2397, 0.5000)
Cd (0.2397, 0.0000, 0.5000)
Cd (0.7603, 0.7603, 0.5000)

=====

# 2
A plane-wave DFT calculation with PBE was carried out for an optimized crystal structure of Dy2ErTm4Cu2Te2.

Values from the calculation:
Electronic total energy in eV for the cell shown: -51.663
Magnetic moment in μB per formula unit: 0.02

Lattice parameters (Å, degrees): 9.2470 9.2470 9.2470 155.46 67.53 118.20
Sites, in units of the cell vectors:
Dy (0.1444, 0.0000, 0.1444)
Dy (0.8556, 0.0000, 0.8556)
Er (0.7615, 0.2615, 0.5000)
Tm (0.2170, 0.8475, 0.3695)
Tm (0.4569, 0.6417, 0.8152)
Tm (0.4780, 0.8475, 0.6305)
Tm (0.8264, 0.6417, 0.1848)
Cu (0.0720, 0.3337, 0.7383)
Cu (0.5954, 0.3337, 0.2617)
Te (0.1018, 0.6018, 0.5000)
Te (0.4966, 0.4966, 0.0000)

=====

# 3
A plane-wave DFT calculation with PBE was carried out for an optimized crystal structure of TbSeS.

Values from the calculation:
Magnetic moment in μB per formula unit: 0.00
Offset from the most stable computed form in meV per atom: 40

Lattice parameters (Å, degrees): 8.2062 4.0149 8.0185 90.00 90.17 90.00
Sites, in units of the cell vectors:
Tb (0.2364, 0.2178, 0.3719)
Tb (0.2364, 0.2822, 0.8719)
Tb (0.7636, 0.7178, 0.1281)
Tb (0.7636, 0.7822, 0.6281)
Se (0.1299, 0.7415, 0.1251)
Se (0.1299, 0.7585, 0.6251)
Se (0.8701, 0.2415, 0.3749)
Se (0.8701, 0.2585, 0.8749)
S (0.4970, 0.6600, 0.3905)
S (0.4970, 0.8400, 0.8905)
S (0.5030, 0.1600, 0.1095)
S (0.5030, 0.3400, 0.6095)

=====

# 4
A plane-wave DFT calculation with PBE was carried out for an optimized crystal structure of LuAgGeS3.

Values from the calculation:
Magnetic moment in μB per formula unit: 0.00
Offset from the most stable computed form in meV per atom: 0

Lattice parameters (Å, degrees): 11.6968 3.7644 12.1971 90.00 90.00 90.00
Sites, in units of the cell vectors:
Lu (0.0137, 0.2500, 0.1503)
Lu (0.4863, 0.7500, 0.6503)
Lu (0.5137, 0.2500, 0.3497)
Lu (0.9863, 0.7500, 0.8497)
Ag (0.1922, 0.7500, 0.4004)
Ag (0.3078, 0.2500, 0.9004)
Ag (0.6922, 0.7500, 0.0996)
Ag (0.8078, 0.2500, 0.5996)
Ge (0.1701, 0.2500, 0.5916)
Ge (0.3299, 0.7500, 0.0916)
Ge (0.6701, 0.2500, 0.9084)
Ge (0.8299, 0.7500, 0.4084)
S (0.0080, 0.7500, 0.3097)
S (0.1067, 0.2500, 0.9493)
S (0.2469, 0.2500, 0.1995)
S (0.2531, 0.7500, 0.6995)
S (0.3933, 0.7500, 0.4493)
S (0.4920, 0.2500, 0.8097)
S (0.5080, 0.7500, 0.1903)
S (0.6067, 0.2500, 0.5507)
S (0.7469, 0.2500, 0.3005)
S (0.7531, 0.7500, 0.8005)
S (0.8933, 0.7500, 0.0507)
S (0.9920, 0.2500, 0.6903)

=====

Q: magnetic moment of number 4 (LuAgGeS3)?
A: 0.00 μB per formula unit

=====

Q: magnetic moment of number 2 (Dy2ErTm4Cu2Te2)?
A: 0.02 μB per formula unit

=====

Q: Which of these has the highest magnetic moment?
A: Dy2ErTm4Cu2Te2